[1]
# LiMgCd

An optimized crystal structure of LiMgCd (PBE, Alexandria via LeMat-Bulk).

Cell: 14.6256 3.3678 4.9457 Å, 90.00 90.00 90.00°
With the nearest neighbours (Å) after each atom.
Fractional coordinates of all 12 atoms:
Li  0.2465  0.2500  0.0457  2 Cd 2.82, 2 Mg 2.96, 4 Li 2.99
Li  0.2535  0.7500  0.5457  2 Cd 2.82, 2 Mg 2.96, 4 Li 2.99
Li  0.7465  0.2500  0.4543  2 Cd 2.82, 2 Mg 2.96, 4 Li 2.99
Li  0.7535  0.7500  0.9543  2 Cd 2.82, 2 Mg 2.96, 4 Li 2.99
Mg  0.0874  0.2500  0.5817  3 Li 2.96-3.27, 5 Cd 2.99-3.11, 2 Mg 3.17
Mg  0.4126  0.7500  0.0817  3 Li 2.96-3.27, 5 Cd 2.99-3.11, 2 Mg 3.17
Mg  0.5874  0.2500  0.9183  3 Li 2.96-3.27, 5 Cd 2.99-3.11, 2 Mg 3.17
Mg  0.9126  0.7500  0.4183  3 Li 2.96-3.27, 5 Cd 2.99-3.11, 2 Mg 3.17
Cd  0.0923  0.7500  0.0808  2 Li 2.82, 5 Mg 2.99-3.11
Cd  0.4077  0.2500  0.5808  2 Li 2.82, 5 Mg 2.99-3.11
Cd  0.5923  0.7500  0.4192  2 Li 2.82, 5 Mg 2.99-3.11
Cd  0.9077  0.2500  0.9192  2 Li 2.82, 5 Mg 2.99-3.11

Calculated values
electronic total energy: -19.3 eV/cell
total moment: 0.000 μB per formula unit
ΔH_f (0 K): -0.135 eV per atom
density of states at the Fermi level: 4.6 states/eV/cell

***

[2]
# VTe2Au

An optimized crystal structure of VTe2Au (PBE, Alexandria via LeMat-Bulk).

Cell: 3.6344 3.6344 25.8387 Å, 90.00 90.00 120.00°
With the nearest neighbours (Å) after each atom.
Fractional coordinates of all 12 atoms:
V  0.0000  0.0000  0.0000  6 Te 2.68
V  0.3333  0.6667  0.6667  6 Te 2.68
V  0.6667  0.3333  0.3333  6 Te 2.68
Te  0.0000  0.0000  0.3977  1 Au 2.64, 3 V 2.68
Te  0.0000  0.0000  0.6023  1 Au 2.64, 3 V 2.68
Te  0.3333  0.6667  0.0644  1 Au 2.64, 3 V 2.68
Te  0.3333  0.6667  0.2690  1 Au 2.64, 3 V 2.68
Te  0.6667  0.3333  0.7310  1 Au 2.64, 3 V 2.68
Te  0.6667  0.3333  0.9356  1 Au 2.64, 3 V 2.68
Au  0.0000  0.0000  0.5000  2 Te 2.64
Au  0.3333  0.6667  0.1667  2 Te 2.64
Au  0.6667  0.3333  0.8333  2 Te 2.64

Calculated values
electronic total energy: -57.3 eV/cell
total moment: 0.000 μB per formula unit
formation energy without anion corrections: -0.107 eV/atom
density of states at the Fermi level: 4.5 states/eV/cell

***

[3]
# MnCuRu2

An optimized crystal structure of MnCuRu2 (PBE, Alexandria via LeMat-Bulk).

Cell: 3.0929 4.1309 8.3323 Å, 90.00 90.00 90.00°
With the nearest neighbours (Å) after each atom.
Fractional coordinates of all 8 atoms:
Mn  0.0000  0.0000  0.0000  2 Cu 2.52, 6 Ru 2.58-2.59
Mn  0.5000  0.5000  0.5000  2 Cu 2.52, 6 Ru 2.58-2.59
Cu  0.0000  0.5000  0.2606  2 Mn 2.52, 6 Ru 2.58-2.63
Cu  0.5000  0.0000  0.7606  2 Mn 2.52, 6 Ru 2.58-2.63
Ru  0.0000  0.0000  0.5059  4 Mn 2.58, 2 Cu 2.63, 2 Ru 2.64
Ru  0.0000  0.5000  0.7497  4 Cu 2.58, 2 Mn 2.59, 2 Ru 2.64
Ru  0.5000  0.0000  0.2497  4 Cu 2.58, 2 Mn 2.59, 2 Ru 2.64
Ru  0.5000  0.5000  0.0059  4 Mn 2.58, 2 Cu 2.63, 2 Ru 2.64

Calculated values
electronic total energy: -61.9 eV/cell
total moment: 3.234 μB per formula unit
ΔH_f (0 K): 0.215 eV per atom
density of states at the Fermi level: 7.3 states/eV/cell

***

[4]
# Ca2CePr

An optimized crystal structure of Ca2CePr (PBE, Alexandria via LeMat-Bulk).

Cell: 3.5697 3.5697 40.0187 Å, 90.00 90.00 120.00°
With the nearest neighbours (Å) after each atom.
Fractional coordinates of all 12 atoms:
Ca  0.0000  0.0000  0.0887  1 Pr 3.55, 6 Ca 3.57, 3 Ce 3.74
Ca  0.0000  0.0000  0.9113  1 Pr 3.55, 6 Ca 3.57, 3 Ce 3.74
Ca  0.3333  0.6667  0.5780  1 Pr 3.55, 6 Ca 3.57, 3 Ce 3.74
Ca  0.3333  0.6667  0.7554  1 Pr 3.55, 6 Ca 3.57, 3 Ce 3.74
Ca  0.6667  0.3333  0.2446  1 Pr 3.55, 6 Ca 3.57, 3 Ce 3.74
Ca  0.6667  0.3333  0.4220  1 Pr 3.55, 6 Ca 3.57, 3 Ce 3.74
Ce  0.0000  0.0000  0.5000  6 Ce 3.57, 6 Ca 3.74
Ce  0.3333  0.6667  0.1667  6 Ce 3.57, 6 Ca 3.74
Ce  0.6667  0.3333  0.8333  6 Ce 3.57, 6 Ca 3.74
Pr  0.0000  0.0000  0.0000  2 Ca 3.55, 6 Pr 3.57
Pr  0.3333  0.6667  0.6667  2 Ca 3.55, 6 Pr 3.57
Pr  0.6667  0.3333  0.3333  2 Ca 3.55, 6 Pr 3.57

Calculated values
electronic total energy: -41.0 eV/cell
total moment: 1.682 μB per formula unit
ΔH_f (0 K): 0.263 eV per atom
density of states at the Fermi level: 29.9 states/eV/cell

***

[5]
# Fe3Cu2Pd7

An optimized crystal structure of Fe3Cu2Pd7 (PBE, Alexandria via LeMat-Bulk).

Cell: 12.6275 12.6275 3.7274 Å, 90.00 90.00 161.64°
With the nearest neighbours (Å) after each atom.
Fractional coordinates of all 12 atoms:
Fe  0.0000  0.0000  0.0000  12 Pd 2.71-2.85
Fe  0.1520  0.8480  0.0000  6 Pd 2.48-2.68, 4 Cu 2.74
Fe  0.8480  0.1520  0.0000  6 Pd 2.48-2.68, 4 Cu 2.74
Cu  0.3456  0.6544  0.5000  6 Pd 2.56-2.76, 4 Fe 2.74
Cu  0.6544  0.3456  0.5000  6 Pd 2.56-2.76, 4 Fe 2.74
Pd  0.0787  0.9213  0.5000  4 Fe 2.61-2.71, 6 Pd 2.74-2.81, 2 Cu 2.76
Pd  0.2178  0.7822  0.5000  2 Fe 2.48, 2 Cu 2.56, 2 Pd 2.58
Pd  0.4188  0.5812  0.0000  2 Cu 2.61, 4 Fe 2.68-2.85, 6 Pd 2.74-2.75
Pd  0.5000  0.5000  0.5000  4 Fe 2.74, 8 Pd 2.75-2.81
Pd  0.5812  0.4188  0.0000  2 Cu 2.61, 4 Fe 2.68-2.85, 6 Pd 2.74-2.75
Pd  0.7822  0.2178  0.5000  2 Fe 2.48, 2 Cu 2.56, 2 Pd 2.58
Pd  0.9213  0.0787  0.5000  4 Fe 2.61-2.71, 6 Pd 2.74-2.81, 2 Cu 2.76

Calculated values
electronic total energy: -68.7 eV/cell
total moment: 12.037 μB per formula unit
ΔH_f (0 K): 0.104 eV per atom
density of states at the Fermi level: 6.8 states/eV/cell

***

[6]
# ZrMo3S

An optimized crystal structure of ZrMo3S (PBE, Alexandria via LeMat-Bulk).

Cell: 4.4733 4.4733 4.4733 Å, 90.00 90.00 90.00°
With the nearest neighbours (Å) after each atom.
Fractional coordinates of all 5 atoms:
Zr  0.0000  0.0000  0.0000  12 Mo 3.16
Mo  0.0000  0.5000  0.5000  2 S 2.24
Mo  0.5000  0.0000  0.5000  2 S 2.24
Mo  0.5000  0.5000  0.0000  2 S 2.24
S  0.5000  0.5000  0.5000  6 Mo 2.24

Calculated values
electronic total energy: -44.2 eV/cell
total moment: 0.000 μB per formula unit
formation energy without anion corrections: 0.194 eV/atom
density of states at the Fermi level: 8.9 states/eV/cell